1.
## ScNb2GePd (PBE)

Data for a relaxed structure of ScNb2GePd.

Cell lengths 4.9520, 4.9520, 4.5939 Å; angles 90.00, 90.00, 90.00 degrees
Closest atoms and distances in Å follow each position.
Space group P4/mmm (No. 123)
Asymmetric unit:
Sc 0.0000 0.0000 0.0000 (multiplicity 1)  8 Nb 3.38, 4 Ge 3.50
Nb 0.0000 0.5000 0.5000 (multiplicity 2)  2 Pd 2.48
Ge 0.5000 0.5000 0.0000 (multiplicity 1)  2 Pd 2.30
Pd 0.5000 0.5000 0.5000 (multiplicity 1)  2 Ge 2.30, 4 Nb 2.48

Values from the calculation:
Crystal system: tetragonal
Total DFT energy (no corrections): -32.3 eV for the cell shown
Energy of formation from the pure elements: 3.94 eV/f.u.


2.
## NbGePdSe2 (PBE)

Data for a relaxed structure of NbGePdSe2.

Cell lengths 4.9954, 4.9954, 4.5932 Å; angles 90.00, 90.00, 90.00 degrees
Closest atoms and distances in Å follow each position.
Space group P4/mmm (No. 123)
Asymmetric unit:
Nb 0.0000 0.0000 0.0000 (multiplicity 1)  8 Se 3.39, 4 Pd 3.53
Ge 0.5000 0.5000 0.5000 (multiplicity 1)  2 Pd 2.30, 4 Se 2.50
Pd 0.5000 0.5000 0.0000 (multiplicity 1)  2 Ge 2.30
Se 0.0000 0.5000 0.5000 (multiplicity 2)  2 Ge 2.50

Values from the calculation:
Crystal system: tetragonal
Total DFT energy (no corrections): -23.4 eV for the cell shown
E_form (uncorrected): 0.69 eV per atom


3.
## SrNbGePd2 (PBE)

Data for a relaxed structure of SrNbGePd2.

Cell lengths 4.9022, 4.9022, 5.4732 Å; angles 90.00, 90.00, 90.00 degrees
Closest atoms and distances in Å follow each position.
Space group P4/mmm (No. 123)
Asymmetric unit:
Sr 0.0000 0.0000 0.0000 (multiplicity 1)  4 Pd 2.45, 2 Ge 2.74
Nb 0.5000 0.5000 0.5000 (multiplicity 1)  4 Ge 3.47, 8 Pd 3.67
Ge 0.0000 0.0000 0.5000 (multiplicity 1)  2 Sr 2.74
Pd 0.0000 0.5000 0.0000 (multiplicity 2)  2 Sr 2.45

Values from the calculation:
Crystal system: tetragonal
Total DFT energy (no corrections): -19.0 eV for the cell shown
Energy of formation from the pure elements: 7.79 eV/f.u.


4.
## NbV2GePd (PBE)

Data for a relaxed structure of NbV2GePd.

Cell lengths 4.5553, 4.5553, 4.9644 Å; angles 90.00, 90.00, 90.00 degrees
Closest atoms and distances in Å follow each position.
Space group P4/mmm (No. 123)
Asymmetric unit:
Nb 0.0000 0.0000 0.0000 (multiplicity 1)  4 V 2.28, 2 Pd 2.48
V 0.0000 0.5000 0.0000 (multiplicity 2)  2 Nb 2.28
Ge 0.5000 0.5000 0.5000 (multiplicity 1)  4 Pd 3.22, 8 V 3.37
Pd 0.0000 0.0000 0.5000 (multiplicity 1)  2 Nb 2.48

Values from the calculation:
Crystal system: tetragonal
Total DFT energy (no corrections): -31.5 eV for the cell shown
Energy of formation from the pure elements: 6.64 eV/f.u.


5.
## PmNb4Ge4 (PBE)

Data for a relaxed structure of PmNb4Ge4.

Cell lengths 8.6322, 8.6322, 5.0590 Å; angles 90.00, 90.00, 90.00 degrees
Closest atoms and distances in Å follow each position.
Space group P4_2/n (No. 86, origin choice 2)
Asymmetric unit:
Pm 0.2500 0.2500 0.2500 (multiplicity 2)  4 Nb 3.39, 8 Ge 3.50-3.56
Nb 0.1215 0.8627 0.6471 (multiplicity 8)  5 Ge 2.54-2.80
Ge 0.0391 0.8993 0.1625 (multiplicity 8)  1 Ge 2.49, 4 Nb 2.54-2.72

Values from the calculation:
Crystal system: tetragonal
Total DFT energy (no corrections): -131.2 eV for the cell shown
Energy of formation from the pure elements: -2.09 eV/f.u.


6.
## Pm2NbGe3 (PBE)

Data for a relaxed structure of Pm2NbGe3.

Cell lengths 3.9871, 5.7382, 12.3215 Å; angles 90.00, 90.00, 90.00 degrees
Closest atoms and distances in Å follow each position.
Space group Immm (No. 71)
Asymmetric unit:
Pm 0.0000 0.0000 0.1720 (multiplicity 4)  6 Ge 2.89-3.00
Nb 0.0000 0.0000 0.5000 (multiplicity 2)  6 Ge 2.68-2.87
Ge 0.0000 0.5000 0.1457 (multiplicity 4)  2 Nb 2.68, 4 Pm 2.89-3.00
Ge 0.0000 0.5000 0.5000 (multiplicity 2)  2 Nb 2.87, 4 Pm 2.91

Values from the calculation:
Crystal system: orthorhombic
Total DFT energy (no corrections): -73.2 eV for the cell shown
Energy of formation from the pure elements: -3.16 eV/f.u.


7.
## PmNb3Ge2 (PBE)

Data for a relaxed structure of PmNb3Ge2.

Cell lengths 14.7880, 4.3923, 8.6198 Å; angles 90.00, 117.48, 90.00 degrees
Closest atoms and distances in Å follow each position.
Space group C2/m (No. 12)
Asymmetric unit:
Pm 0.1478 0.0000 0.0627 (multiplicity 4)  7 Ge 3.14-3.39, 1 Nb 3.52
Nb 0.0493 0.0000 0.3698 (multiplicity 4)  3 Ge 2.73-2.78, 4 Nb 2.81-2.82
Nb 0.0769 0.5000 0.6640 (multiplicity 4)  3 Ge 2.59-2.71, 4 Nb 2.69-2.81
Nb 0.1847 0.5000 0.4697 (multiplicity 4)  2 Ge 2.67-2.88, 5 Nb 2.79-2.82
Ge 0.0220 0.5000 0.1549 (multiplicity 4)  1 Ge 2.44, 2 Nb 2.59-2.67
Ge 0.1942 0.0000 0.7126 (multiplicity 4)  6 Nb 2.71-2.99

Values from the calculation:
Crystal system: monoclinic
Total DFT energy (no corrections): -187.1 eV for the cell shown
Energy of formation from the pure elements: -2.57 eV/f.u.


8.
## Pm2Nb3Ge4 (PBE)

Data for a relaxed structure of Pm2Nb3Ge4.

Cell lengths 7.2598, 7.2593, 7.1417 Å; angles 90.00, 109.30, 90.00 degrees
Closest atoms and distances in Å follow each position.
Space group P2_1/c (No. 14)
Asymmetric unit:
Pm 0.1868 0.1700 0.0598 (multiplicity 4)  7 Ge 2.93-3.16
Nb 0.2578 0.6723 0.2474 (multiplicity 4)  6 Ge 2.62-2.83
Nb 0.5000 0.0000 0.5000 (multiplicity 2)  6 Ge 2.80-2.84
Ge 0.0880 0.5416 0.8625 (multiplicity 4)  4 Nb 2.68-2.84, 1 Ge 2.74, 1 Pm 2.93
Ge 0.4951 0.1311 0.8666 (multiplicity 4)  5 Nb 2.62-2.84, 1 Ge 2.68

Values from the calculation:
Crystal system: monoclinic
Total DFT energy (no corrections): -129.2 eV for the cell shown
Energy of formation from the pure elements: -6.41 eV/f.u.


9.
## Pm2NbGe (PBE)

Data for a relaxed structure of Pm2NbGe.

Cell lengths 3.2606, 3.2606, 32.7177 Å; angles 90.00, 90.00, 120.00 degrees
Closest atoms and distances in Å follow each position.
Space group R-3m (No. 166, hexagonal axes)
Asymmetric unit:
Pm 0.0000 0.0000 0.0914 (multiplicity 6)  1 Nb 2.99, 3 Ge 3.10, 6 Pm 3.26
Nb 0.0000 0.0000 0.0000 (multiplicity 3)  2 Pm 2.99, 6 Nb 3.26
Ge 0.0000 0.0000 0.5000 (multiplicity 3)  6 Pm 3.10, 6 Ge 3.26

Values from the calculation:
Crystal system: trigonal
Total DFT energy (no corrections): -68.0 eV for the cell shown
Energy of formation from the pure elements: 1.52 eV/f.u.


10.
## Pm2NbGe3Pt4 (PBE)

Data for a relaxed structure of Pm2NbGe3Pt4.

Cell lengths 4.2596, 4.2596, 10.7828 Å; angles 90.00, 90.00, 90.00 degrees
Closest atoms and distances in Å follow each position.
Space group P-4m2 (No. 115)
Asymmetric unit:
Pm 0.0000 0.5000 0.2376 (multiplicity 2)  6 Ge 3.21-3.54, 8 Pt 3.30-3.33, 2 Nb 3.54
Nb 0.0000 0.0000 0.5000 (multiplicity 1)  4 Pt 2.60
Ge 0.0000 0.5000 0.8658 (multiplicity 2)  5 Pt 2.45-2.57
Ge 0.5000 0.5000 0.5000 (multiplicity 1)  4 Pt 2.60
Pt 0.0000 0.0000 0.0000 (multiplicity 1)  4 Ge 2.57
Pt 0.0000 0.5000 0.6383 (multiplicity 2)  3 Ge 2.45-2.60, 2 Nb 2.60
Pt 0.5000 0.5000 0.0000 (multiplicity 1)  4 Ge 2.57

Values from the calculation:
Crystal system: tetragonal
Total DFT energy (no corrections): -66.3 eV for the cell shown
Energy of formation from the pure elements: -8.69 eV/f.u.


11.
## Pm2NbGe3Rh4 (PBE)

Data for a relaxed structure of Pm2NbGe3Rh4.

Cell lengths 4.1919, 4.1919, 10.6349 Å; angles 90.00, 90.00, 90.00 degrees
Closest atoms and distances in Å follow each position.
Space group P-4m2 (No. 115)
Asymmetric unit:
Pm 0.0000 0.5000 0.2408 (multiplicity 2)  6 Ge 3.20-3.46, 8 Rh 3.22-3.31, 2 Nb 3.46
Nb 0.0000 0.0000 0.5000 (multiplicity 1)  4 Rh 2.57
Ge 0.0000 0.5000 0.8730 (multiplicity 2)  5 Rh 2.47-2.49
Ge 0.5000 0.5000 0.5000 (multiplicity 1)  4 Rh 2.57
Rh 0.0000 0.0000 0.0000 (multiplicity 1)  4 Ge 2.49
Rh 0.0000 0.5000 0.6406 (multiplicity 2)  3 Ge 2.47-2.57, 2 Nb 2.57
Rh 0.5000 0.5000 0.0000 (multiplicity 1)  4 Ge 2.49

Values from the calculation:
Crystal system: tetragonal
Total DFT energy (no corrections): -71.0 eV for the cell shown
Energy of formation from the pure elements: -8.13 eV/f.u.


12.
## PmNbGe2Ru (PBE)

Data for a relaxed structure of PmNbGe2Ru.

Cell lengths 4.1062, 4.1062, 11.4630 Å; angles 90.00, 90.00, 90.00 degrees
Closest atoms and distances in Å follow each position.
Space group I-4m2 (No. 119)
Asymmetric unit:
Pm 0.0000 0.0000 0.0000 (multiplicity 2)  8 Ge 3.17, 4 Nb 3.53, 4 Ru 3.53
Nb 0.0000 0.5000 0.2500 (multiplicity 2)  4 Ge 2.59, 4 Ru 2.90
Ge 0.0000 0.0000 0.3881 (multiplicity 4)  1 Ge 2.56, 2 Nb 2.59, 2 Ru 2.59
Ru 0.0000 0.5000 0.7500 (multiplicity 2)  4 Ge 2.59, 4 Nb 2.90

Values from the calculation:
Crystal system: tetragonal
Total DFT energy (no corrections): -72.3 eV for the cell shown
Energy of formation from the pure elements: -2.80 eV/f.u.